Record 1
# Te2PIrN (PBE, optimized geometry)
data_Te2PIrN
_chemical_formula_sum 'Te2 P1 Ir1 N1'
_cell_length_a 5.433
_cell_length_b 5.433
_cell_length_c 3.661
_cell_angle_alpha 90.00
_cell_angle_beta 90.00
_cell_angle_gamma 90.00
_symmetry_space_group_name_H-M 'P 4/m m m'
_symmetry_Int_Tables_number 123
_symmetry_space_group_name_Hall '-P 4 2'
loop_
_atom_site_label
_atom_site_fract_x
_atom_site_fract_y
_atom_site_fract_z
Te1 0.000 0.500 0.000
P1 0.000 0.000 0.500
Ir1 0.500 0.500 0.000
N1 0.500 0.500 0.500
# - Formation energy (no corrections): 3.09 eV per formula unit
# - Excess energy over the best structure of this formula in the dataset: 0.000 eV/atom

Record 2
# La2PrIr (PBE, optimized geometry)
data_La2PrIr
_chemical_formula_sum 'La6 Pr3 Ir3'
_cell_length_a 4.1104
_cell_length_b 4.1104
_cell_length_c 28.3916
_cell_angle_alpha 90.00
_cell_angle_beta 90.00
_cell_angle_gamma 120.00
_symmetry_space_group_name_H-M 'R 3 m'
_symmetry_Int_Tables_number 160
_symmetry_space_group_name_Hall 'R 3 -2"'
loop_
_atom_site_label
_atom_site_fract_x
_atom_site_fract_y
_atom_site_fract_z
La1 0.0000 0.0000 0.0000
La2 0.0000 0.0000 0.2204
Pr1 0.0000 0.0000 0.4445
Ir1 0.0000 0.0000 0.6099
# - Energy of formation: -0.36 eV/atom
# - Excess energy over the best structure of this formula in the dataset: 0.108 eV/atom

Record 3
# SmBeN (PBE, optimized geometry)
data_SmBeN
_chemical_formula_sum 'Sm4 Be4 N4'
_cell_length_a 5.143
_cell_length_b 5.055
_cell_length_c 6.925
_cell_angle_alpha 90.00
_cell_angle_beta 97.10
_cell_angle_gamma 90.00
_symmetry_space_group_name_H-M 'C 1 2/m 1'
_symmetry_Int_Tables_number 12
loop_
_symmetry_equiv_pos_as_xyz
'x,y,z'
'-x,-y,-z'
'-x,y,-z'
'x,-y,z'
'x+1/2,y+1/2,z'
'-x+1/2,-y+1/2,-z'
'-x+1/2,y+1/2,-z'
'x+1/2,-y+1/2,z'
loop_
_atom_site_label
_atom_site_fract_x
_atom_site_fract_y
_atom_site_fract_z
Sm1 0.214 0.000 0.318
Be1 0.171 0.500 0.102
N1 0.222 0.500 0.332
# - Formation energy (no corrections): -2.86 eV per formula unit
# - Excess energy over the best structure of this formula in the dataset: 0.000 eV/atom

Record 4
# LaDyBr2 (PBE, optimized geometry)
data_LaDyBr2
_chemical_formula_sum 'La3 Dy3 Br6'
_cell_length_a 3.6680
_cell_length_b 3.6680
_cell_length_c 31.0763
_cell_angle_alpha 90.00
_cell_angle_beta 90.00
_cell_angle_gamma 120.00
_symmetry_space_group_name_H-M 'R -3 m'
_symmetry_Int_Tables_number 166
_symmetry_space_group_name_Hall '-R 3 2"'
loop_
_atom_site_label
_atom_site_fract_x
_atom_site_fract_y
_atom_site_fract_z
La1 0.0000 0.0000 0.0000
Dy1 0.0000 0.0000 0.5000
Br1 0.0000 0.0000 0.1001
# - Formation energy (no corrections): -4.13 eV per formula unit

Record 5
# K2TaTe4 (PBE, optimized geometry)
data_K2TaTe4
_chemical_formula_sum 'K4 Ta2 Te8'
_cell_length_a 5.508
_cell_length_b 5.508
_cell_length_c 17.743
_cell_angle_alpha 90.00
_cell_angle_beta 90.00
_cell_angle_gamma 90.00
_symmetry_space_group_name_H-M 'I 4/m m m'
_symmetry_Int_Tables_number 139
_symmetry_space_group_name_Hall '-I 4 2'
loop_
_atom_site_label
_atom_site_fract_x
_atom_site_fract_y
_atom_site_fract_z
K1 0.000 0.000 0.146
Ta1 0.000 0.000 0.500
Te1 0.000 0.000 0.344
Te2 0.000 0.500 0.000
# - Formation energy (no corrections): -3.19 eV per formula unit

Record 6
# CaTiNbO6 (PBE, optimized geometry)
data_CaTiNbO6
_chemical_formula_sum 'Ca2 Ti2 Nb2 O12'
_cell_length_a 4.906
_cell_length_b 4.906
_cell_length_c 9.593
_cell_angle_alpha 90.00
_cell_angle_beta 90.00
_cell_angle_gamma 90.00
_symmetry_space_group_name_H-M 'P 42 n m'
_symmetry_Int_Tables_number 102
loop_
_symmetry_equiv_pos_as_xyz
'x,y,z'
'-y+1/2,x+1/2,z+1/2'
'-x,-y,z'
'y+1/2,-x+1/2,z+1/2'
'-x+1/2,y+1/2,z+1/2'
'y,x,z'
'x+1/2,-y+1/2,z+1/2'
'-y,-x,z'
loop_
_atom_site_label
_atom_site_fract_x
_atom_site_fract_y
_atom_site_fract_z
Ca1 0.000 0.000 0.000
Ti1 0.000 0.000 0.663
Nb1 0.000 0.000 0.339
O1 0.176 0.176 0.506
O2 0.214 0.214 0.806
O3 0.219 0.219 0.199
# - Formation energy (no corrections): -23.44 eV per formula unit

Record 7
# La6Ga3Co (PBE, optimized geometry)
data_La6Ga3Co
_chemical_formula_sum 'La12 Ga6 Co2'
_cell_length_a 5.458
_cell_length_b 9.271
_cell_length_c 12.363
_cell_angle_alpha 90.00
_cell_angle_beta 116.17
_cell_angle_gamma 90.00
_symmetry_space_group_name_H-M 'P 1 21/c 1'
_symmetry_Int_Tables_number 14
loop_
_symmetry_equiv_pos_as_xyz
'x,y,z'
'-x,-y,-z'
'-x,y+1/2,-z+1/2'
'x,-y+1/2,z+1/2'
loop_
_atom_site_label
_atom_site_fract_x
_atom_site_fract_y
_atom_site_fract_z
La1 0.039 0.178 0.047
La2 0.243 0.503 0.232
La3 0.422 0.158 0.442
Ga1 0.241 0.663 0.751
Ga2 0.500 0.000 0.000
Co1 0.000 0.000 0.500
# - Energy of formation: -0.34 eV/atom

Record 8
# DyThAu (PBE, optimized geometry)
data_DyThAu
_chemical_formula_sum 'Dy4 Th4 Au4'
_cell_length_a 7.138
_cell_length_b 7.138
_cell_length_c 7.138
_cell_angle_alpha 90.00
_cell_angle_beta 90.00
_cell_angle_gamma 90.00
_symmetry_space_group_name_H-M 'F -4 3 m'
_symmetry_Int_Tables_number 216
_symmetry_space_group_name_Hall 'F -4 2 3'
loop_
_atom_site_label
_atom_site_fract_x
_atom_site_fract_y
_atom_site_fract_z
Dy1 0.000 0.000 0.000
Th1 0.000 0.000 0.500
Au1 0.250 0.250 0.750
# - Energy of formation: -0.23 eV/atom
# - Excess energy over the best structure of this formula in the dataset: 0.213 eV/atom

Record 9
# BeZnMo2 (PBE, optimized geometry)
data_BeZnMo2
_chemical_formula_sum 'Be1 Zn1 Mo2'
_cell_length_a 2.608
_cell_length_b 4.108
_cell_length_c 5.338
_cell_angle_alpha 90.00
_cell_angle_beta 90.00
_cell_angle_gamma 90.00
_symmetry_space_group_name_H-M 'P m m 2'
_symmetry_Int_Tables_number 25
loop_
_symmetry_equiv_pos_as_xyz
'x,y,z'
'-x,-y,z'
'-x,y,z'
'x,-y,z'
loop_
_atom_site_label
_atom_site_fract_x
_atom_site_fract_y
_atom_site_fract_z
Be1 0.000 0.000 0.000
Zn1 0.500 0.500 0.762
Mo1 0.000 0.000 0.494
Mo2 0.500 0.500 0.247
# - Energy of formation: 0.31 eV/atom
# - Excess energy over the best structure of this formula in the dataset: 0.226 eV/atom

Record 10
# CoB2Pd2 (PBE, optimized geometry)
data_CoB2Pd2
_chemical_formula_sum 'Co2 B4 Pd4'
_cell_length_a 5.496
_cell_length_b 5.496
_cell_length_c 3.438
_cell_angle_alpha 90.00
_cell_angle_beta 90.00
_cell_angle_gamma 90.00
_symmetry_space_group_name_H-M 'P 4/m b m'
_symmetry_Int_Tables_number 127
_symmetry_space_group_name_Hall '-P 4 2ab'
loop_
_atom_site_label
_atom_site_fract_x
_atom_site_fract_y
_atom_site_fract_z
Co1 0.000 0.000 0.000
B1 0.120 0.380 0.000
Pd1 0.181 0.681 0.500
# - Energy of formation: 0.08 eV/atom

Record 11
# DyGePd (PBE, optimized geometry)
data_DyGePd
_chemical_formula_sum 'Dy2 Ge2 Pd2'
_cell_length_a 3.804
_cell_length_b 3.804
_cell_length_c 8.611
_cell_angle_alpha 90.00
_cell_angle_beta 90.00
_cell_angle_gamma 90.00
_symmetry_space_group_name_H-M 'I 4 m m'
_symmetry_Int_Tables_number 107
_symmetry_space_group_name_Hall 'I 4 -2'
loop_
_atom_site_label
_atom_site_fract_x
_atom_site_fract_y
_atom_site_fract_z
Dy1 0.000 0.000 0.000
Ge1 0.000 0.000 0.329
Pd1 0.000 0.000 0.647
# - Energy of formation: -0.59 eV/atom

Record 12
# NdTmSc2S4 (PBE, optimized geometry)
data_NdTmSc2S4
_chemical_formula_sum 'Nd1 Tm1 Sc2 S4'
_cell_length_a 6.658
_cell_length_b 3.786
_cell_length_c 6.659
_cell_angle_alpha 90.00
_cell_angle_beta 108.93
_cell_angle_gamma 90.00
_symmetry_space_group_name_H-M 'P 1 2/m 1'
_symmetry_Int_Tables_number 10
loop_
_symmetry_equiv_pos_as_xyz
'x,y,z'
'-x,-y,-z'
'-x,y,-z'
'x,-y,z'
loop_
_atom_site_label
_atom_site_fract_x
_atom_site_fract_y
_atom_site_fract_z
Nd1 0.000 0.000 0.000
Tm1 0.500 0.500 0.000
Sc1 0.000 0.500 0.500
Sc2 0.500 0.000 0.500
S1 0.254 0.000 0.734
S2 0.268 0.500 0.274
# - Formation energy (no corrections): -15.19 eV per formula unit

We obtain energy values of -25.79; -74.79; -78.52; -51.01; -59.61; -146.31; -98.31; -63.94; -25.43; -60.93; -32.35; -53.60 eV/cell for the records listed above, in that order.